1.
4
Lattice="3.524 0.000 0.000 -1.762 3.052 0.000 0.000 0.000 4.241" Properties=species:S:1:pos:R:3 comment="MgO PBE relaxed" total_magnetization_mub_per_cell=0.00 raw_formation_energy_ev_per_atom=-2.671 pbc="T T T"
Mg 0.000 2.035 1.060
Mg 1.762 1.017 3.181
O 0.000 2.035 3.181
O 1.762 1.017 1.060

=====

2.
12
Lattice="3.551 -6.152 0.000 3.551 6.152 0.000 -2.368 0.000 6.711" Properties=species:S:1:pos:R:3 comment="Ce2Nd3ErP6 PBE relaxed" total_magnetization_mub_per_cell=0.76 ef_ev_per_fu=-18.5 pbc="T T T"
Ce 3.551 4.102 0.000
Ce 3.551 -4.102 0.000
Nd -1.184 0.000 3.355
Nd 2.367 2.054 3.355
Nd 2.367 -2.054 3.355
Er 3.551 0.000 0.000
P 0.005 2.042 5.103
P 1.194 0.000 1.616
P 0.005 -2.042 5.103
P 4.730 2.042 1.607
P 3.541 0.000 5.095
P 4.730 -2.042 1.607

=====

3.
5
Lattice="5.346 0.000 0.000 0.000 5.346 0.000 0.000 0.000 4.156" Properties=species:S:1:pos:R:3 comment="CaRhSe2N PBE relaxed" de_polymorph_mev_per_atom=1645 total_magnetization_mub_per_cell=0.91 raw_formation_energy_ev_per_atom=1.252 pbc="T T T"
Ca 0.000 0.000 0.000
Rh 2.673 2.673 2.078
Se 0.000 2.673 0.000
Se 2.673 0.000 0.000
N 0.000 0.000 2.078

=====

4.
11
Lattice="2.890 1.668 5.908 -2.890 1.668 5.908 0.000 -3.337 5.908" Properties=species:S:1:pos:R:3 comment="Ba2ScP2N6 PBE relaxed" total_magnetization_mub_per_cell=0.00 raw_formation_energy_ev_per_atom=-0.843 pbc="T T T"
Ba 0.000 0.000 3.824
Ba 0.000 0.000 13.899
Sc 0.000 0.000 0.000
P 0.000 0.000 7.265
P 0.000 0.000 10.458
N 0.000 -1.580 7.276
N -1.368 0.790 7.276
N -1.368 -0.790 10.448
N 1.368 0.790 7.276
N 1.368 -0.790 10.448
N 0.000 1.580 10.448

=====

5.
4
Lattice="2.827 0.000 0.000 0.000 2.816 0.000 -0.074 0.000 6.491" Properties=species:S:1:pos:R:3 comment="SiNi2As PBE relaxed" total_magnetization_mub_per_cell=0.00 raw_formation_energy_ev_per_atom=-0.193 pbc="T T T"
Si 0.000 0.000 0.000
Ni 1.342 1.408 5.180
Ni 1.410 1.408 1.311
As -0.037 0.000 3.246

=====

6.
8
Lattice="-2.824 2.824 9.659 2.824 -2.824 9.659 2.824 2.824 -9.659" Properties=species:S:1:pos:R:3 comment="Ac6CdAu PBE relaxed" total_magnetization_mub_per_cell=0.00 ef_ev_per_fu=-1.9 pbc="T T T"
Ac 2.824 0.000 1.981
Ac 0.000 0.000 4.801
Ac 2.824 0.000 7.678
Ac 0.000 2.824 1.981
Ac 0.000 0.000 14.518
Ac 0.000 2.824 7.678
Cd 0.000 0.000 0.000
Au 0.000 0.000 9.659

=====

7.
12
Lattice="4.647 0.000 0.000 -2.323 4.024 0.000 0.000 0.000 24.845" Properties=species:S:1:pos:R:3 comment="RbLa2Te3 PBE relaxed" total_magnetization_mub_per_cell=0.00 raw_formation_energy_ev_per_atom=-1.517 pbc="T T T"
Rb 0.000 0.000 6.211
Rb 0.000 0.000 18.634
La 0.000 2.683 1.889
La 0.000 2.683 10.534
La 2.323 1.341 14.312
La 2.323 1.341 22.956
Te 0.000 0.000 0.000
Te 0.000 0.000 12.423
Te 0.000 2.683 16.107
Te 0.000 2.683 21.161
Te 2.323 1.341 3.685
Te 2.323 1.341 8.738

=====

8.
16
Lattice="4.678 2.701 8.210 -4.678 2.701 8.210 0.000 -5.402 8.210" Properties=species:S:1:pos:R:3 comment="K4LaCe3Te8 PBE relaxed" total_magnetization_mub_per_cell=3.00 raw_formation_energy_ev_per_atom=-1.384 pbc="T T T"
K 0.000 0.000 0.000
K -2.339 -1.350 8.210
K -2.339 1.350 16.419
K 0.000 2.701 8.210
La 0.000 0.000 12.315
Ce -4.678 0.000 12.315
Ce -2.339 1.350 4.105
Ce 2.339 1.350 4.105
Te -2.357 -1.361 14.078
Te 0.000 0.000 5.857
Te 0.000 -2.721 10.552
Te -2.357 1.361 10.552
Te 2.357 -1.361 14.078
Te 0.000 2.721 14.078
Te 0.000 0.000 18.772
Te 2.357 1.361 10.552

=====

9.
7
Lattice="2.904 -2.900 0.000 2.904 2.900 0.000 -2.892 0.000 13.070" Properties=species:S:1:pos:R:3 comment="Pr2Dy2Er2In PBE relaxed" total_magnetization_mub_per_cell=0.01 ef_ev_per_fu=-0.2 pbc="T T T"
Pr 0.008 0.000 5.416
Pr 2.908 0.000 7.655
Dy 0.007 0.000 1.658
Dy 2.909 0.000 11.412
Er 0.007 0.000 9.588
Er 2.909 0.000 3.483
In 2.904 0.000 0.000

=====

10.
4
Lattice="2.059 1.189 4.361 -2.059 1.189 4.361 0.000 -2.378 4.361" Properties=species:S:1:pos:R:3 comment="ZnMoRh2 PBE relaxed" total_magnetization_mub_per_cell=0.00 ef_ev_per_fu=0.5 pbc="T T T"
Zn 0.000 0.000 0.000
Mo 0.000 0.000 2.660
Rh 0.000 0.000 5.381
Rh 0.000 0.000 7.991

=====

11.
12
Lattice="2.515 1.452 8.223 -2.515 1.452 8.223 0.000 -2.904 8.223" Properties=species:S:1:pos:R:3 comment="Dy3MnFe8 PBE relaxed" total_magnetization_mub_per_cell=17.76 ef_ev_per_fu=-0.2 pbc="T T T"
Dy 0.000 0.000 0.000
Dy 0.000 0.000 3.160
Dy 0.000 0.000 12.549
Mn 0.000 0.000 15.543
Fe -1.272 -0.734 9.795
Fe 0.000 -1.453 5.796
Fe -1.258 0.726 5.796
Fe 0.000 0.000 7.791
Fe 1.272 -0.734 9.795
Fe 0.000 1.469 9.795
Fe 1.258 0.726 5.796
Fe 0.000 0.000 20.143

=====

12.
6
Lattice="2.684 -8.458 0.000 2.684 8.458 0.000 0.000 0.000 3.587" Properties=species:S:1:pos:R:3 comment="Tm5Mn PBE relaxed" total_magnetization_mub_per_cell=2.83 ef_ev_per_fu=0.5 pbc="T T T"
Tm 0.000 0.000 0.000
Tm 2.684 5.330 1.794
Tm 2.684 2.226 0.000
Tm 2.684 -2.226 0.000
Tm 2.684 -5.330 1.794
Mn 2.684 0.000 1.794